No. 1
# CdAgRu2 PBE optimized geometry
# magnetic moment: 2.928 μB/cell
# energy relative to the elements: 559 meV per atom
data_CdAgRu2
_chemical_formula_sum 'Cd1 Ag1 Ru2'
_symmetry_space_group_name_H-M 'P 1'
_symmetry_Int_Tables_number 1
_symmetry_space_group_name_Hall 'P 1'
_cell_length_a 4.402
_cell_length_b 3.884
_cell_length_c 3.884
_cell_angle_alpha 90.00
_cell_angle_beta 90.00
_cell_angle_gamma 90.00
loop_
_atom_site_label
_atom_site_type_symbol
_atom_site_fract_x
_atom_site_fract_y
_atom_site_fract_z
Ag1 Ag 0.500 0.500 0.000
Cd1 Cd 0.500 0.000 0.500
Ru1 Ru 0.000 0.000 0.000
Ru2 Ru 0.000 0.500 0.500



No. 2
# Ac6GeOs2I3 PBE optimized geometry
# magnetic moment: 0.000 μB/cell
# E_form (uncorrected): -0.7439 eV/atom
data_Ac6GeOs2I3
_chemical_formula_sum 'Ac6 Ge1 Os2 I3'
_symmetry_space_group_name_H-M 'P 1'
_symmetry_Int_Tables_number 1
_symmetry_space_group_name_Hall 'P 1'
_cell_length_a 7.769
_cell_length_b 7.769
_cell_length_c 8.897
_cell_angle_alpha 98.41
_cell_angle_beta 98.41
_cell_angle_gamma 119.96
loop_
_atom_site_label
_atom_site_type_symbol
_atom_site_fract_x
_atom_site_fract_y
_atom_site_fract_z
Ac1 Ac 0.938 0.584 0.813
Ac2 Ac 0.708 0.708 0.186
Ac3 Ac 0.062 0.416 0.187
Ac4 Ac 0.584 0.938 0.813
Ac5 Ac 0.292 0.292 0.814
Ac6 Ac 0.416 0.062 0.187
Ge1 Ge 0.000 0.000 0.000
Os1 Os 0.333 0.667 0.000
Os2 Os 0.667 0.333 0.000
I1 I 0.163 0.837 0.500
I2 I 0.837 0.163 0.500
I3 I 0.500 0.500 0.500



No. 3
# La4Hg2IrPt PBE optimized geometry
# magnetic moment: 0.000 μB/cell
# energy relative to the elements: -741 meV per atom
data_La4Hg2IrPt
_chemical_formula_sum 'La4 Hg2 Ir1 Pt1'
_symmetry_space_group_name_H-M 'P 1'
_symmetry_Int_Tables_number 1
_symmetry_space_group_name_Hall 'P 1'
_cell_length_a 4.209
_cell_length_b 7.320
_cell_length_c 8.320
_cell_angle_alpha 106.94
_cell_angle_beta 90.00
_cell_angle_gamma 90.00
loop_
_atom_site_label
_atom_site_type_symbol
_atom_site_fract_x
_atom_site_fract_y
_atom_site_fract_z
La1 La 0.500 0.243 0.205
La2 La 0.500 0.757 0.795
La3 La 0.000 0.272 0.797
La4 La 0.000 0.728 0.203
Hg1 Hg 0.500 0.000 0.500
Hg2 Hg 0.000 0.500 0.500
Ir1 Ir 0.500 0.500 0.000
Pt1 Pt 0.000 0.000 0.000



No. 4
# BaTiAu3 PBE optimized geometry
# magnetic moment: 1.034 μB/cell
# energy relative to the elements: -274 meV per atom
# ΔE to the lowest computed polymorph: 0.00 kJ per mole of atoms
data_BaTiAu3
_chemical_formula_sum 'Ba1 Ti1 Au3'
_symmetry_space_group_name_H-M 'P 1'
_symmetry_Int_Tables_number 1
_symmetry_space_group_name_Hall 'P 1'
_cell_length_a 5.163
_cell_length_b 5.163
_cell_length_c 5.163
_cell_angle_alpha 90.00
_cell_angle_beta 90.00
_cell_angle_gamma 90.00
loop_
_atom_site_label
_atom_site_type_symbol
_atom_site_fract_x
_atom_site_fract_y
_atom_site_fract_z
Au1 Au 0.000 0.500 0.000
Au2 Au 0.000 0.000 0.500
Au3 Au 0.500 0.000 0.000
Ba1 Ba 0.500 0.500 0.500
Ti1 Ti 0.000 0.000 0.000



No. 5
# Tl2WAu PBE optimized geometry
# magnetic moment: 0.000 μB/cell
# energy relative to the elements: 866 meV per atom
# ΔE to the lowest computed polymorph: 28.26 kJ per mole of atoms
data_Tl2WAu
_chemical_formula_sum 'Tl2 W1 Au1'
_symmetry_space_group_name_H-M 'P 1'
_symmetry_Int_Tables_number 1
_symmetry_space_group_name_Hall 'P 1'
_cell_length_a 4.885
_cell_length_b 3.013
_cell_length_c 5.684
_cell_angle_alpha 89.12
_cell_angle_beta 90.00
_cell_angle_gamma 90.00
loop_
_atom_site_label
_atom_site_type_symbol
_atom_site_fract_x
_atom_site_fract_y
_atom_site_fract_z
Au1 Au 0.500 0.750 0.750
Tl1 Tl 0.000 0.970 0.007
Tl2 Tl 0.000 0.530 0.493
W1 W 0.500 0.250 0.250



No. 6
# Y2BiPd6 PBE optimized geometry
# magnetic moment: 0.000 μB/cell
# energy relative to the elements: -466 meV per atom
data_Y2BiPd6
_chemical_formula_sum 'Y2 Bi1 Pd6'
_symmetry_space_group_name_H-M 'P 1'
_symmetry_Int_Tables_number 1
_symmetry_space_group_name_Hall 'P 1'
_cell_length_a 4.641
_cell_length_b 8.236
_cell_length_c 6.743
_cell_angle_alpha 127.81
_cell_angle_beta 110.21
_cell_angle_gamma 90.02
loop_
_atom_site_label
_atom_site_type_symbol
_atom_site_fract_x
_atom_site_fract_y
_atom_site_fract_z
Y1 Y 0.677 0.676 0.353
Y2 Y 0.323 0.324 0.647
Bi1 Bi 0.000 0.000 0.000
Pd1 Pd 0.160 0.457 0.319
Pd2 Pd 0.841 0.139 0.682
Pd3 Pd 0.840 0.543 0.681
Pd4 Pd 0.499 0.209 0.999
Pd5 Pd 0.159 0.861 0.318
Pd6 Pd 0.501 0.791 0.001



magnetic moment of number 3 (La4Hg2IrPt)? 0.000 μB/cell



Which value of magnetic moment does entry 6 give? 0.000 μB/cell



Please write out number 6 again, unchanged.
# Y2BiPd6 PBE optimized geometry
# magnetic moment: 0.000 μB/cell
# energy relative to the elements: -466 meV per atom
data_Y2BiPd6
_chemical_formula_sum 'Y2 Bi1 Pd6'
_symmetry_space_group_name_H-M 'P 1'
_symmetry_Int_Tables_number 1
_symmetry_space_group_name_Hall 'P 1'
_cell_length_a 4.641
_cell_length_b 8.236
_cell_length_c 6.743
_cell_angle_alpha 127.81
_cell_angle_beta 110.21
_cell_angle_gamma 90.02
loop_
_atom_site_label
_atom_site_type_symbol
_atom_site_fract_x
_atom_site_fract_y
_atom_site_fract_z
Y1 Y 0.677 0.676 0.353
Y2 Y 0.323 0.324 0.647
Bi1 Bi 0.000 0.000 0.000
Pd1 Pd 0.160 0.457 0.319
Pd2 Pd 0.841 0.139 0.682
Pd3 Pd 0.840 0.543 0.681
Pd4 Pd 0.499 0.209 0.999
Pd5 Pd 0.159 0.861 0.318
Pd6 Pd 0.501 0.791 0.001